# SrPr2Ag6 | Alexandria | GGA-PBE | relaxed
# * DOS at the Fermi energy: 5.33 states/eV per cell
# * E_form: -2.3 eV per formula unit
data_SrPr2Ag6
_chemical_formula_sum 'Sr1 Pr2 Ag6'
_cell_length_a 8.4074
_cell_length_b 8.4074
_cell_length_c 3.6839
_cell_angle_alpha 90.00
_cell_angle_beta 90.00
_cell_angle_gamma 120.00
_space_group_name_H-M_alt 'P 6/m m m'
_space_group_IT_number 191
_space_group_name_Hall '-P 6 2'
loop_
_atom_site_label
_atom_site_type_symbol
_atom_site_fract_x
_atom_site_fract_y
_atom_site_fract_z
Sr1 Sr 0.0000 0.0000 0.0000
Pr1 Pr 0.3333 0.6667 0.0000
Ag1 Ag 0.0000 0.3350 0.5000